Version P
Entry from the Alexandria database: VGaNF2 after structural relaxation (PBE with a Hubbard U).

The total magnetization comes out at 0.60 μB/atom. The calculation puts the density of states at the Fermi level at 0.22 states/eV/cell.

It has space group P4/mmm (No. 123), with a = 3.922 Å, b = 3.922 Å, c = 3.912 Å, α = 90.00°, β = 90.00° and γ = 90.00°. The asymmetric unit holds V at (0.000, 0.000, 0.000), Ga at (0.500, 0.500, 0.500), N at (0.500, 0.500, 0.000) and F at (0.000, 0.500, 0.500).

Version Q
Entry from the Alexandria database: VGaNF2 after structural relaxation (PBE with a Hubbard U).

The total magnetization comes out at 0.21 μB/atom. The calculation puts the density of states at the Fermi level at 0.83 states/eV/cell.

It has space group P4/mmm (No. 123), with a = 4.140 Å, b = 4.140 Å, c = 3.838 Å, α = 90.00°, β = 90.00° and γ = 90.00°. The asymmetric unit holds V at (0.000, 0.000, 0.000), Ga at (0.500, 0.500, 0.500), N at (0.000, 0.000, 0.500) and F at (0.000, 0.500, 0.000).

Of them, version P has the lowest stability.

Version P
Entry from the Alexandria database: GaWN2F after structural relaxation (PBE with a Hubbard U).

The total magnetization comes out at 0.04 μB/atom. The calculation puts the density of states at the Fermi level at 1.96 states/eV/cell.

It has space group P4/mmm (No. 123), with a = 4.024 Å, b = 4.024 Å, c = 4.259 Å, α = 90.00°, β = 90.00° and γ = 90.00°. The asymmetric unit holds Ga at (0.000, 0.000, 0.000), W at (0.500, 0.500, 0.500), N at (0.000, 0.500, 0.500) and F at (0.500, 0.500, 0.000).

Version Q
Entry from the Alexandria database: GaWN2F after structural relaxation (PBE with a Hubbard U).

The total magnetization comes out at 0.44 μB/atom. The calculation puts the density of states at the Fermi level at 2.06 states/eV/cell.

It has space group P4/mmm (No. 123), with a = 3.960 Å, b = 3.960 Å, c = 3.677 Å, α = 90.00°, β = 90.00° and γ = 90.00°. The asymmetric unit holds Ga at (0.000, 0.000, 0.000), W at (0.500, 0.500, 0.500), N at (0.000, 0.500, 0.000) and F at (0.000, 0.000, 0.500).

Of them, version Q has the lowest stability.